VTePt2 | PBE | relaxed

For the total energy, the calculation gives -6.137 eV per atom. Its spin magnetization is 0.000 μB/atom. The uncorrected formation energy is -51.1 meV per atom. For the volume, the calculation gives 18.1 Å³/atom.

The space group is I-42d (No. 122) and the conventional cell measures 7.298, 7.298 and 5.445 Å, with angles of 90.00, 90.00 and 90.00 degrees. The inequivalent atoms are V at (0.000, 0.000, 0.000), Te at (0.000, 0.000, 0.500) and Pt at (0.236, 0.750, 0.125).